Entry 1:
Compound: Li2Mn5F12
Source: the Alexandria database
Functional: PBE+U
Structure: optimized geometry

Cell lengths 11.9560, 5.6455, 7.0001 Å; angles 90.00, 106.66, 90.00 degrees
Space group C2/m (No. 12)
Asymmetric unit:
Li1 0.0000 0.2254 0.0000 [4 per cell]
Mn1 0.0000 0.0000 0.5000 [2 per cell]
Mn2 0.1815 0.5000 0.3446 [4 per cell]
Mn3 0.1869 0.5000 0.8436 [4 per cell]
F1 0.0044 0.5000 0.7977 [4 per cell]
F2 0.0072 0.0000 0.7930 [4 per cell]
F3 0.1543 0.2526 0.5679 [8 per cell]
F4 0.1742 0.2625 0.0985 [8 per cell]

Results
E_tot	-6.05	eV per atom


Entry 2:
Compound: Li4MnF7
Source: the Alexandria database
Functional: PBE+U
Structure: optimized geometry

Cell lengths 12.4835, 8.8647, 5.4401 Å; angles 90.00, 104.48, 90.00 degrees
Space group C2/c (No. 15)
Asymmetric unit:
Li1 0.1333 0.0540 0.2230 [8 per cell]
Li2 0.1541 0.4018 0.3517 [8 per cell]
Mn1 0.0000 0.2675 0.7500 [4 per cell]
F1 0.0000 0.0529 0.7500 [4 per cell]
F2 0.0874 0.2563 0.0828 [8 per cell]
F3 0.0997 0.4148 0.6559 [8 per cell]
F4 0.1950 0.0914 0.5603 [8 per cell]

Results
relative energy among the computed polymorphs	25.7	meV per atom


Entry 3:
Compound: LiMn2F
Source: the Alexandria database
Functional: PBE+U
Structure: optimized geometry

Cell lengths 8.7412, 8.7412, 3.6190 Å; angles 90.00, 90.00, 90.00 degrees
Space group I-42d (No. 122)
Asymmetric unit:
Li1 0.0000 0.0000 0.0000 [4 per cell]
Mn1 0.1220 0.2500 0.6250 [8 per cell]
F1 0.0000 0.0000 0.5000 [4 per cell]

Results
relative energy among the computed polymorphs	0.0	meV per atom


Entry 4:
Compound: Li2MnF4
Source: the Alexandria database
Functional: PBE+U
Structure: optimized geometry

Cell lengths 5.9904, 5.3641, 5.4835 Å; angles 90.00, 114.49, 90.00 degrees
Space group P2_1/c (No. 14)
Asymmetric unit:
Li1 0.1510 0.0335 0.3747 [4 per cell]
Mn1 0.5000 0.0000 0.0000 [2 per cell]
F1 0.1514 0.1442 0.7239 [4 per cell]
F2 0.3695 0.6593 0.7741 [4 per cell]

Results
relative energy among the computed polymorphs	2.8	meV per atom


Entry 5:
Compound: LiMnF4
Source: the Alexandria database
Functional: PBE+U
Structure: optimized geometry

Cell lengths 5.2195, 9.6284, 5.7371 Å; angles 90.00, 90.00, 90.00 degrees
Space group Pnna (No. 52)
Asymmetric unit:
Li1 0.1613 0.2500 0.2500 [4 per cell]
Mn1 0.2500 0.0000 0.6640 [4 per cell]
F1 0.1055 0.6203 0.6240 [8 per cell]
F2 0.1066 0.6143 0.0831 [8 per cell]

Results
E_tot	-5.41	eV per atom


Entry 6:
Compound: Li2MnF6
Source: the Alexandria database
Functional: PBE+U
Structure: optimized geometry

Cell lengths 4.8113, 5.1180, 8.4138 Å; angles 90.00, 90.00, 90.00 degrees
Space group Pnnm (No. 58)
Asymmetric unit:
Li1 0.0000 0.0000 0.1962 [4 per cell]
Mn1 0.0000 0.5000 0.0000 [2 per cell]
F1 0.1992 0.1938 0.0000 [4 per cell]
F2 0.2180 0.6496 0.1568 [8 per cell]

Results
relative energy among the computed polymorphs	6.2	meV per atom